1.
DFT (meta-GGA SCAN) results for a crystal of ThBiTe relaxed with PBEsol.

SG ... No. 129
N(E_F) ... 0.395 states/eV per atom
Raw total energy ... -71.535 eV per atom
Formation energy (no corrections) ... -951 meV/atom

a b c (Å): 4.4656 4.4656 9.0923
angles (deg): 90.00 90.00 90.00
With the nearest neighbours (Å) after each atom.
Fractional positions:
Th 0.5000 0.0000 0.2781  5 Te 3.24-3.26, 4 Bi 3.37
Th 0.0000 0.5000 0.7219  5 Te 3.24-3.26, 4 Bi 3.37
Bi 0.0000 0.0000 0.0000  4 Bi 3.16, 4 Th 3.37
Bi 0.5000 0.5000 0.0000  4 Bi 3.16, 4 Th 3.37
Te 0.5000 0.0000 0.6348  5 Th 3.24-3.26
Te 0.0000 0.5000 0.3652  5 Th 3.24-3.26

=====

2.
DFT (meta-GGA SCAN) results for a crystal of BeZnTe relaxed with PBEsol.

SG ... No. 35
N(E_F) ... 0.309 states/eV per atom
Raw total energy ... -17.964 eV per atom
Formation energy (no corrections) ... 409 meV/atom

a b c (Å): 3.4589 3.4589 6.7914
angles (deg): 107.27 107.27 114.59
With the nearest neighbours (Å) after each atom.
Fractional positions:
Zn 0.2368 0.2368 0.7364  2 Be 2.40
Be 0.0009 0.0009 0.0009  2 Te 2.39, 2 Zn 2.40
Te 0.7625 0.7625 0.2628  2 Be 2.39

=====

3.
DFT (meta-GGA SCAN) results for a crystal of Ca2CoN relaxed with PBEsol.

SG ... No. 122
Raw total energy ... -11.482 eV per atom
Formation energy (no corrections) ... -1 meV/atom

a b c (Å): 5.9785 5.9785 5.9785
angles (deg): 109.97 109.22 109.22
With the nearest neighbours (Å) after each atom.
Fractional positions:
N 0.5000 0.2500 0.7500  4 Ca 2.26
N 0.0000 0.5000 0.5000  4 Ca 2.26
Ca 0.0794 0.2044 0.6250  2 N 2.26
Ca 0.5794 0.3750 0.4544  2 N 2.26
Ca 0.9206 0.5456 0.1250  2 N 2.26
Ca 0.4206 0.8750 0.7956  2 N 2.26
Co 0.0000 0.0000 0.0000  8 Ca 2.99-3.32
Co 0.5000 0.7500 0.2500  8 Ca 2.99-3.32

=====

4.
DFT (meta-GGA SCAN) results for a crystal of MgMnIn2 relaxed with PBEsol.

SG ... No. 166
N(E_F) ... 0.536 states/eV per atom
Raw total energy ... -22.533 eV per atom
E_form ... -0.03 eV/atom

a b c (Å): 3.1826 3.1826 9.4000
angles (deg): 80.25 80.25 60.00
With the nearest neighbours (Å) after each atom.
Fractional positions:
In 0.2558 0.2558 0.2325  3 Mn 2.82, 3 Mg 3.08
In 0.7442 0.7442 0.7675  3 Mn 2.82, 3 Mg 3.08
Mg 0.5000 0.5000 0.5000  6 In 3.08, 6 Mg 3.18
Mn 0.0000 0.0000 0.0000  6 In 2.82

=====

5.
DFT (meta-GGA SCAN) results for a crystal of KSiHO3 relaxed with PBEsol.

SG ... No. 64
N(E_F) ... 0.000 states/eV per atom
Raw total energy ... -9.112 eV per atom

a b c (Å): 7.5083 7.5083 11.2642
angles (deg): 90.00 90.00 100.53
With the nearest neighbours (Å) after each atom.
Fractional positions:
H 0.0000 0.5000 0.5000  2 O 1.21
H 0.8223 0.8223 0.8080  1 O 1.06
H 0.3223 0.3223 0.6920  1 O 1.06
H 0.1777 0.1777 0.1920  1 O 1.06
H 0.6777 0.6777 0.3080  1 O 1.06
H 0.0000 0.5000 0.0000  2 O 1.21
H 0.5000 0.0000 0.0000  2 O 1.21
H 0.5000 0.0000 0.5000  2 O 1.21
Si 0.6973 0.3027 0.0000  4 O 1.62-1.66
Si 0.8027 0.1973 0.5000  4 O 1.62-1.66
Si 0.9878 0.9878 0.3136  4 O 1.59-1.67
Si 0.1973 0.8027 0.5000  4 O 1.62-1.66
Si 0.4878 0.4878 0.1864  4 O 1.59-1.67
Si 0.3027 0.6973 0.0000  4 O 1.62-1.66
Si 0.5122 0.5122 0.8136  4 O 1.59-1.67
Si 0.0122 0.0122 0.6864  4 O 1.59-1.67
O 0.4323 0.4323 0.6850  1 H 1.06
O 0.4366 0.6634 0.1121  2 Si 1.66-1.67
O 0.3622 0.9079 0.9635  1 H 1.21
O 0.1634 0.9366 0.3879  2 Si 1.66-1.67
O 0.6378 0.0921 0.0365  1 H 1.21
O 0.1378 0.5921 0.4635  1 H 1.21
O 0.5921 0.1378 0.4635  1 H 1.21
O 0.8366 0.0634 0.6121  2 Si 1.66-1.67
O 0.0677 0.0677 0.1850  1 H 1.06
O 0.5634 0.3366 0.8879  2 Si 1.66-1.67
O 0.0634 0.8366 0.6121  2 Si 1.66-1.67
O 0.6634 0.4366 0.1121  2 Si 1.66-1.67
O 0.8622 0.4079 0.5365  1 H 1.21
O 0.9079 0.3622 0.9635  1 H 1.21
O 0.4079 0.8622 0.5365  1 H 1.21
O 0.0921 0.6378 0.0365  1 H 1.21
O 0.9323 0.9323 0.8150  1 H 1.06
O 0.9366 0.1634 0.3879  2 Si 1.66-1.67
O 0.5677 0.5677 0.3150  1 H 1.06
O 0.8236 0.8236 0.2970  1 H 1.41
O 0.6764 0.6764 0.7970  1 H 1.41
O 0.1764 0.1764 0.7030  1 H 1.41
O 0.3236 0.3236 0.2030  1 H 1.41
O 0.3366 0.5634 0.8879  2 Si 1.66-1.67
K 0.6766 0.6766 0.5436  1 H 2.65, 5 O 2.65-2.86
K 0.5107 0.0107 0.7500  4 O 2.70-2.86, 4 H 2.82-3.02
K 0.1766 0.1766 0.9564  1 H 2.65, 5 O 2.65-2.86
K 0.9893 0.4893 0.2500  4 O 2.70-2.86, 4 H 2.82-3.02
K 0.0107 0.5107 0.7500  4 O 2.70-2.86, 4 H 2.82-3.02
K 0.3234 0.3234 0.4564  1 H 2.65, 5 O 2.65-2.86
K 0.8234 0.8234 0.0436  1 H 2.65, 5 O 2.65-2.86
K 0.4893 0.9893 0.2500  4 O 2.70-2.86, 4 H 2.82-3.02

=====

6.
DFT (meta-GGA SCAN) results for a crystal of Zr3In relaxed with PBEsol.

SG ... No. 139
N(E_F) ... 0.845 states/eV per atom
Raw total energy ... -31.678 eV per atom
E_form ... -0.31 eV/atom

a b c (Å): 4.3216 4.3216 5.5401
angles (deg): 112.96 112.96 90.00
With the nearest neighbours (Å) after each atom.
Fractional positions:
In 0.0000 0.0000 0.0000  12 Zr 3.06-3.16
Zr 0.2500 0.7500 0.5000  8 Zr 3.06-3.16, 4 In 3.16
Zr 0.5000 0.5000 0.0000  4 In 3.06, 8 Zr 3.16
Zr 0.7500 0.2500 0.5000  8 Zr 3.06-3.16, 4 In 3.16

=====

7.
DFT (meta-GGA SCAN) results for a crystal of CaTaCo2 relaxed with PBEsol.

SG ... No. 123
N(E_F) ... 0.448 states/eV per atom
Raw total energy ... -27.481 eV per atom
E_form ... 0.23 eV/atom

a b c (Å): 2.9376 4.5237 4.5237
angles (deg): 90.00 90.01 90.00
With the nearest neighbours (Å) after each atom.
Fractional positions:
Ta 0.3747 0.0000 0.3750  8 Co 2.69-2.70, 2 Ta 2.94
Co 0.8753 0.0000 0.8754  4 Ta 2.69-2.70, 4 Ca 2.70, 2 Co 2.94
Co 0.8749 0.5000 0.3748  4 Ca 2.70, 4 Ta 2.70, 2 Co 2.94
Ca 0.3751 0.5000 0.8748  8 Co 2.70, 2 Ca 2.94

=====

8.
DFT (meta-GGA SCAN) results for a crystal of NaAgPb2O relaxed with PBEsol.

SG ... No. 123
N(E_F) ... 0.614 states/eV per atom
Raw total energy ... -38.338 eV per atom
Formation energy (no corrections) ... 337 meV/atom

a b c (Å): 3.9030 5.4529 5.4529
angles (deg): 90.00 90.00 90.00
With the nearest neighbours (Å) after each atom.
Fractional positions:
Pb 0.0000 0.0000 0.5000  2 Na 2.73
Pb 0.0000 0.5000 0.0000  2 Na 2.73
O 0.5000 0.0000 0.0000  2 Na 1.95
Na 0.0000 0.0000 0.0000  2 O 1.95
Ag 0.5000 0.5000 0.5000  8 Pb 3.35

=====

9.
DFT (meta-GGA SCAN) results for a crystal of Cs2Ag2Pb relaxed with PBEsol.

SG ... No. 139
N(E_F) ... 0.656 states/eV per atom
Raw total energy ... -42.773 eV per atom
E_form ... 0.05 eV/atom

a b c (Å): 3.7955 3.7955 12.2535
angles (deg): 98.91 98.91 90.00
With the nearest neighbours (Å) after each atom.
Fractional positions:
Pb 0.0000 0.0000 0.0000  4 Pb 3.80, 8 Cs 3.92
Ag 0.7500 0.2500 0.5000  4 Ag 2.68
Ag 0.2500 0.7500 0.5000  4 Ag 2.68
Cs 0.6194 0.6194 0.2389  4 Ag 3.65, 4 Cs 3.80, 4 Pb 3.92
Cs 0.3806 0.3806 0.7611  4 Ag 3.65, 4 Cs 3.80, 4 Pb 3.92

=====

10.
DFT (meta-GGA SCAN) results for a crystal of CsTeSe2N relaxed with PBEsol.

SG ... No. 123
N(E_F) ... 0.595 states/eV per atom
Raw total energy ... -24.621 eV per atom
Formation energy (no corrections) ... 281 meV/atom

a b c (Å): 4.2927 5.5446 5.5446
angles (deg): 90.00 90.00 90.00
With the nearest neighbours (Å) after each atom.
Fractional positions:
Se 0.0000 0.5000 0.0000  2 Te 2.77
Se 0.0000 0.0000 0.5000  2 Te 2.77
Cs 0.5000 0.5000 0.5000  8 Se 3.51, 4 N 3.92
N 0.5000 0.0000 0.0000  2 Te 2.15
Te 0.0000 0.0000 0.0000  2 N 2.15

=====

11.
DFT (meta-GGA SCAN) results for a crystal of CdFe2Tc relaxed with PBEsol.

SG ... No. 225
N(E_F) ... 1.050 states/eV per atom
Raw total energy ... -25.008 eV per atom
E_form ... 0.43 eV/atom

a b c (Å): 4.2496 4.2496 4.2496
angles (deg): 60.00 60.00 60.00
With the nearest neighbours (Å) after each atom.
Fractional positions:
Fe 0.2500 0.2500 0.2500  4 Cd 2.60, 4 Tc 2.60
Fe 0.7500 0.7500 0.7500  4 Tc 2.60, 4 Cd 2.60
Cd 0.5000 0.5000 0.5000  8 Fe 2.60
Tc 0.0000 0.0000 0.0000  8 Fe 2.60

=====

12.
DFT (meta-GGA SCAN) results for a crystal of KZrAsSe2 relaxed with PBEsol.

SG ... No. 123
N(E_F) ... 0.570 states/eV per atom
Raw total energy ... -19.964 eV per atom
Formation energy (no corrections) ... -89 meV/atom

a b c (Å): 5.0679 5.0679 7.4235
angles (deg): 90.00 90.00 90.00
With the nearest neighbours (Å) after each atom.
Fractional positions:
Zr 0.0000 0.0000 0.0000  4 Se 2.53
Se 0.5000 0.0000 0.0000  2 Zr 2.53
Se 0.0000 0.5000 0.0000  2 Zr 2.53
K 0.0000 0.0000 0.5000  4 As 3.58, 2 Zr 3.71
As 0.5000 0.5000 0.5000  4 K 3.58

=====

> raw total energy of number 2 (BeZnTe)?

-17.964 eV per atom

=====

> Among the records above, which one has the lowest raw total energy?

ThBiTe

=====

> What is the formula in the ninth record?

Cs2Ag2Pb